[1]
NdCd4Sn (PBE-GGA, relaxed); energy of formation = -0.8 eV/f.u.; total magnetic moment = 0.00 μB per formula unit; uncorrected energy = -13.278 eV per cell; Fermi-level density of states = 2.16 states/eV per cell
1.0
0.0000 4.2328 4.2328
4.2328 0.0000 4.2328
4.2328 4.2328 0.0000
Nd Cd Sn
1 4 1
direct
0.0000 0.0000 0.0000
0.3751 0.3751 0.3751
0.3751 0.3751 0.8747
0.3751 0.8747 0.3751
0.8747 0.3751 0.3751
0.7500 0.7500 0.7500

[2]
Nd3CdSn (PBE-GGA, relaxed); energy of formation = -1.6 eV/f.u.; total magnetic moment = 0.00 μB per formula unit; uncorrected energy = -41.653 eV per cell; Fermi-level density of states = 10.87 states/eV per cell
1.0
4.4073 0.0000 0.0000
0.0000 6.7893 0.0000
0.0000 0.0000 10.9800
Nd Cd Sn
6 2 2
direct
0.2500 0.0136 0.1998
0.2500 0.2500 0.5726
0.2500 0.4864 0.1998
0.7500 0.5136 0.8002
0.7500 0.7500 0.4274
0.7500 0.9864 0.8002
0.2500 0.2500 0.9427
0.7500 0.7500 0.0573
0.2500 0.7500 0.6352
0.7500 0.2500 0.3648

[3]
Nd4Cd3Sn (PBE-GGA, relaxed); energy of formation = -3.3 eV/f.u.; total magnetic moment = 0.00 μB per formula unit; uncorrected energy = -29.157 eV per cell; Fermi-level density of states = 11.13 states/eV per cell
1.0
3.8350 0.0000 0.0000
0.0000 5.4570 0.0000
0.0000 0.0000 11.0153
Nd Cd Sn
4 3 1
direct
0.0000 0.0000 0.0000
0.0000 0.0000 0.5000
0.0000 0.5000 0.2487
0.0000 0.5000 0.7513
0.5000 0.0000 0.2585
0.5000 0.0000 0.7415
0.5000 0.5000 0.5000
0.5000 0.5000 0.0000

[4]
NdCdSn3 (PBE-GGA, relaxed); energy of formation = -1.8 eV/f.u.; total magnetic moment = 0.00 μB per formula unit; uncorrected energy = -77.865 eV per cell; Fermi-level density of states = 6.03 states/eV per cell
1.0
13.2606 0.0000 0.0000
0.0000 6.3577 0.0000
0.0000 0.0000 6.3857
Nd Cd Sn
4 4 12
direct
0.1898 0.0059 0.2500
0.1898 0.4941 0.7500
0.8102 0.5059 0.2500
0.8102 0.9941 0.7500
0.3855 0.2500 0.0000
0.3855 0.2500 0.5000
0.6145 0.7500 0.0000
0.6145 0.7500 0.5000
0.9999 0.2500 0.0000
0.9999 0.2500 0.5000
0.0001 0.7500 0.0000
0.0001 0.7500 0.5000
0.2290 0.5108 0.2500
0.2290 0.9892 0.7500
0.4203 0.6970 0.7500
0.4203 0.8030 0.2500
0.5797 0.1970 0.7500
0.5797 0.3030 0.2500
0.7710 0.0107 0.2500
0.7710 0.4892 0.7500